The following is a PBE-GGA calculation of a geometry-optimized YCr2Co structure, from Alexandria via LeMat-Bulk.

## Properties
The calculation puts the energy relative to the lowest polymorph listed for this composition at 389 meV/atom. Its energy of formation from the pure elements is 700 meV per atom. Its space-group type is I4_1/amd, No. 141. Its theoretical density is 5.637 g/cm³.

Unit cell a=8.6701 b=8.6701 c=8.6701 alpha=151.47 beta=151.47 gamma=40.79
With the nearest neighbours (Å) after each atom.
Fractional positions:
Y (0.3750, 0.6250, 0.7500)  4 Co 3.02, 8 Cr 3.14
Y (0.6250, 0.3750, 0.2500)  4 Co 3.02, 8 Cr 3.14
Cr (0.0000, 0.0000, 0.0000)  2 Cr 2.14, 2 Co 2.30
Cr (0.0000, 0.0000, 0.5000)  2 Cr 2.14, 2 Co 2.30
Cr (0.0000, 0.5000, 0.0000)  2 Cr 2.14, 2 Co 2.30
Cr (0.5000, 0.0000, 0.5000)  2 Cr 2.14, 2 Co 2.30
Co (0.1250, 0.8750, 0.2500)  4 Cr 2.30
Co (0.8750, 0.1250, 0.7500)  4 Cr 2.30



The following is a PBE-GGA calculation of a geometry-optimized PmUTiN3 structure, from Alexandria via LeMat-Bulk.

## Properties
As for the uncorrected formation energy: -1198 meV per atom. Its space-group type is P2_1/m, No. 11. Its theoretical density is 7.262 g/cm³.

Unit cell a=7.0416 b=3.4512 c=9.3671 alpha=90.00 beta=108.18 gamma=90.00
With the nearest neighbours (Å) after each atom.
Fractional positions:
Pm (0.1844, 0.2500, 0.1368)  5 N 2.48-2.60
Pm (0.8156, 0.7500, 0.8632)  5 N 2.48-2.60
U (0.3166, 0.7500, 0.8551)  6 N 2.25-2.38
U (0.6834, 0.2500, 0.1449)  6 N 2.25-2.38
Ti (0.0032, 0.7500, 0.3828)  4 N 2.00-2.15
Ti (0.9968, 0.2500, 0.6172)  4 N 2.00-2.15
N (0.0859, 0.2500, 0.8590)  1 Ti 2.15, 2 U 2.38
N (0.1364, 0.7500, 0.6087)  3 Ti 2.00-2.03
N (0.4455, 0.7500, 0.1073)  3 U 2.25-2.35
N (0.5545, 0.2500, 0.8927)  3 U 2.25-2.35
N (0.8636, 0.2500, 0.3913)  3 Ti 2.00-2.03
N (0.9141, 0.7500, 0.1410)  1 Ti 2.15, 2 U 2.38